[1]
## Ca2TcAg (PBE)

Data for Ca2TcAg after structural relaxation.

Geometry as POSCAR:
```
Ca2TcAg
1.0
5.078 0.016 -0.044
4.020 3.102 -0.044
1.176 0.403 5.844
Ca Tc Ag
2 1 1
Direct
0.004 0.004 0.986 Ca
0.496 0.496 0.514 Ca
0.750 0.750 0.750 Tc
0.250 0.250 0.250 Ag
```

Output
ΔH_f (0 K)   53.04 kJ/mol of atoms
Polymorph energy (0 for the lowest one)   21.0 kJ/mol of atoms

[2]
## CaTc2Ag (PBE)

Data for CaTc2Ag after structural relaxation.

Geometry as POSCAR:
```
CaTc2Ag
1.0
-0.045 1.858 1.860
-4.004 2.017 -2.111
-3.219 -3.164 3.082
Ca Tc Ag
1 2 1
Direct
0.500 0.500 0.750 Ca
0.000 0.000 0.990 Tc
0.000 0.000 0.510 Tc
0.500 0.500 0.250 Ag
```

Output
ΔH_f (0 K)   63.62 kJ/mol of atoms
Polymorph energy (0 for the lowest one)   43.9 kJ/mol of atoms

[3]
## Ca2TcAg (PBE)

Data for Ca2TcAg after structural relaxation.

Geometry as POSCAR:
```
Ca2TcAg
1.0
-0.365 3.493 -3.925
-0.430 -3.280 -4.098
-2.974 -0.079 4.346
Ca Tc Ag
2 1 1
Direct
0.000 0.000 0.000 Ca
0.500 0.500 0.000 Ca
0.750 0.250 0.500 Tc
0.250 0.750 0.500 Ag
```

Output
ΔH_f (0 K)   40.97 kJ/mol of atoms
Polymorph energy (0 for the lowest one)   9.0 kJ/mol of atoms

| no. | total magnetic moment (μB/atom) |
| --- | --- |
| 1 | 0.1905 |
| 2 | 0.0000 |
| 3 | 0.3665 |